1.
{"formula": "La2Y4Er7", "functional": "PBE", "state": "relaxed", "lattice_angstrom": [[6.0690, 0.0000, 0.0000], [-3.0345, 5.2559, 0.0000], [0.0000, 0.0000, 13.3577]], "species": ["Y", "Y", "Y", "Y", "Er", "Er", "Er", "Er", "Er", "Er", "Er", "La", "La"], "frac_coords": [[0.6667, 0.3333, 0.5000], [0.0000, 0.0000, 0.6051], [0.0000, 0.0000, 0.3949], [0.3333, 0.6667, 0.5000], [0.0000, 0.0000, 0.0000], [0.3526, 0.3526, 0.7842], [0.0000, 0.6474, 0.7842], [0.0000, 0.3526, 0.2158], [0.6474, 0.6474, 0.2158], [0.6474, 0.0000, 0.7842], [0.3526, 0.0000, 0.2158], [0.6667, 0.3333, 0.0000], [0.3333, 0.6667, 0.0000]], "formation_enthalpy_0k_ev_per_atom": 0.19, "final_energy_ev_per_cell": -65.21, "n_ef_per_ev_fu": 20.0, "sg": "P-31m (162)"}

---

2.
{"formula": "LiSi2Tc", "functional": "PBE", "state": "relaxed", "lattice_angstrom": [[-1.3619, -2.0974, 3.3636], [-1.8951, 2.0530, 3.1243], [-4.1130, -0.4915, 0.6396]], "species": ["Tc", "Li", "Si", "Si"], "frac_coords": [[0.5000, 0.5000, 0.5000], [0.0000, 0.0000, 0.0000], [0.2500, 0.2500, 0.2500], [0.7500, 0.7500, 0.7500]], "final_energy_ev_per_cell": -23.84, "n_ef_per_ev_fu": 2.6, "formation_energy_uncorrected_kj_per_mol_atoms": -17.1, "sg": "Fm-3m (225)", "e_above_lowest_polymorph_mev_per_atom": 121}

---

3.
{"formula": "Sc4CdFe", "functional": "PBE", "state": "relaxed", "lattice_angstrom": [[2.8106, -4.0988, 2.7989], [-2.3967, -2.5279, 4.5165], [-1.7525, -5.4160, -0.3597]], "species": ["Sc", "Sc", "Sc", "Sc", "Cd", "Fe"], "frac_coords": [[0.3745, 0.3745, 0.8766], [0.3745, 0.3745, 0.3745], [0.8766, 0.3745, 0.3745], [0.3745, 0.8766, 0.3745], [0.7500, 0.7500, 0.7500], [0.0000, 0.0000, 0.0000]], "formation_enthalpy_0k_ev_per_atom": 0.46, "final_energy_ev_per_cell": -31.93, "n_ef_per_ev_fu": 7.8, "sg": "F-43m (216)", "e_above_lowest_polymorph_mev_per_atom": 634}